Entry 1:
Material: AlSiMo
Method: DFT, GGA-PBEsol
State: relaxed

Cell and atoms, written as CIF:
```
data_AlSiMo
_chemical_formula_sum 'Al3 Si3 Mo3'
_cell_length_a 4.7116
_cell_length_b 4.7116
_cell_length_c 6.5706
_cell_angle_alpha 90.00
_cell_angle_beta 90.00
_cell_angle_gamma 120.00
_symmetry_space_group_name_H-M 'P 32 1 2'
_symmetry_Int_Tables_number 153
_symmetry_space_group_name_Hall 'P 32 2 (0 0 2)'
loop_
_atom_site_label
_atom_site_type_symbol
_atom_site_fract_x
_atom_site_fract_y
_atom_site_fract_z
_atom_site_occupancy
Al1 Al 0.9995 0.4998 0.0000 1
Si1 Si 0.1714 0.3427 0.3333 1
Mo1 Mo 0.3222 0.1611 0.0000 1
```

Values from the calculation:
Uncorrected formation energy: -0.452 eV/atom
Theoretical density: 6.0 g/cm3

***

Entry 2:
Material: SrCaTe2
Method: DFT, GGA-PBEsol
State: relaxed

Cell and atoms, written as CIF:
```
data_SrCaTe2
_chemical_formula_sum 'Sr1 Ca1 Te2'
_cell_length_a 4.574
_cell_length_b 4.574
_cell_length_c 6.468
_cell_angle_alpha 90.00
_cell_angle_beta 90.00
_cell_angle_gamma 90.00
_symmetry_space_group_name_H-M 'P 4/m m m'
_symmetry_Int_Tables_number 123
_symmetry_space_group_name_Hall '-P 4 2'
loop_
_atom_site_label
_atom_site_type_symbol
_atom_site_fract_x
_atom_site_fract_y
_atom_site_fract_z
_atom_site_occupancy
Sr1 Sr 0.000 0.000 0.000 1
Ca1 Ca 0.500 0.500 0.500 1
Te1 Te 0.000 0.000 0.500 1
Te2 Te 0.500 0.500 0.000 1
```

Values from the calculation:
Uncorrected formation energy: -1.674 eV/atom
Theoretical density: 4.7 g/cm3
Energy above the most stable polymorph in this dataset: 15 meV/atom

***

Entry 3:
Material: MnCd2Ru
Method: DFT, GGA-PBEsol
State: relaxed

Cell and atoms, written as CIF:
```
data_MnCd2Ru
_chemical_formula_sum 'Mn4 Cd8 Ru4'
_cell_length_a 6.368
_cell_length_b 6.368
_cell_length_c 6.368
_cell_angle_alpha 90.00
_cell_angle_beta 90.00
_cell_angle_gamma 90.00
_symmetry_space_group_name_H-M 'F -4 3 m'
_symmetry_Int_Tables_number 216
_symmetry_space_group_name_Hall 'F -4 2 3'
loop_
_atom_site_label
_atom_site_type_symbol
_atom_site_fract_x
_atom_site_fract_y
_atom_site_fract_z
_atom_site_occupancy
Mn1 Mn 0.000 0.000 0.000 1
Cd1 Cd 0.000 0.000 0.500 1
Cd2 Cd 0.250 0.250 0.250 1
Ru1 Ru 0.250 0.250 0.750 1
```

Values from the calculation:
Calculated formation energy: 149.5 kJ/mol of formula units
Theoretical density: 9.8 g/cm3
Energy above the most stable polymorph in this dataset: 221 meV/atom

***

Entry 4:
Material: SrNiAg2
Method: DFT, GGA-PBEsol
State: relaxed

Cell and atoms, written as CIF:
```
data_SrNiAg2
_chemical_formula_sum 'Sr1 Ni1 Ag2'
_cell_length_a 4.117
_cell_length_b 4.117
_cell_length_c 4.493
_cell_angle_alpha 90.00
_cell_angle_beta 90.00
_cell_angle_gamma 90.00
_symmetry_space_group_name_H-M 'P 4/m m m'
_symmetry_Int_Tables_number 123
_symmetry_space_group_name_Hall '-P 4 2'
loop_
_atom_site_label
_atom_site_type_symbol
_atom_site_fract_x
_atom_site_fract_y
_atom_site_fract_z
_atom_site_occupancy
Sr1 Sr 0.000 0.000 0.000 1
Ni1 Ni 0.500 0.500 0.000 1
Ag1 Ag 0.000 0.500 0.500 1
```

Values from the calculation:
Calculated formation energy: 72.9 kJ/mol of formula units
Theoretical density: 7.9 g/cm3

***

Entry 5:
Material: Be3NiIr
Method: DFT, GGA-PBEsol
State: relaxed

Cell and atoms, written as CIF:
```
data_Be3NiIr
_chemical_formula_sum 'Be3 Ni1 Ir1'
_cell_length_a 3.777
_cell_length_b 3.777
_cell_length_c 3.777
_cell_angle_alpha 90.00
_cell_angle_beta 90.00
_cell_angle_gamma 90.00
_symmetry_space_group_name_H-M 'P m -3 m'
_symmetry_Int_Tables_number 221
_symmetry_space_group_name_Hall '-P 4 2 3'
loop_
_atom_site_label
_atom_site_type_symbol
_atom_site_fract_x
_atom_site_fract_y
_atom_site_fract_z
_atom_site_occupancy
Be1 Be 0.000 0.000 0.500 1
Ni1 Ni 0.000 0.000 0.000 1
Ir1 Ir 0.500 0.500 0.500 1
```

Values from the calculation:
Calculated formation energy: 221.6 kJ/mol of formula units
Theoretical density: 8.6 g/cm3

***

Entry 6:
Material: Cd2AgRh
Method: DFT, GGA-PBEsol
State: relaxed

Cell and atoms, written as CIF:
```
data_Cd2AgRh
_chemical_formula_sum 'Cd8 Ag4 Rh4'
_cell_length_a 6.456
_cell_length_b 6.456
_cell_length_c 6.456
_cell_angle_alpha 90.00
_cell_angle_beta 90.00
_cell_angle_gamma 90.00
_symmetry_space_group_name_H-M 'F m -3 m'
_symmetry_Int_Tables_number 225
_symmetry_space_group_name_Hall '-F 4 2 3'
loop_
_atom_site_label
_atom_site_type_symbol
_atom_site_fract_x
_atom_site_fract_y
_atom_site_fract_z
_atom_site_occupancy
Cd1 Cd 0.250 0.250 0.250 1
Ag1 Ag 0.000 0.000 0.000 1
Rh1 Rh 0.000 0.000 0.500 1
```

Values from the calculation:
Calculated formation energy: -28.4 kJ/mol of formula units
Theoretical density: 10.8 g/cm3
Energy above the most stable polymorph in this dataset: 40 meV/atom

***

Entry 7:
Material: Ca2CrTe
Method: DFT, GGA-PBEsol
State: relaxed

Cell and atoms, written as CIF:
```
data_Ca2CrTe
_chemical_formula_sum 'Ca2 Cr1 Te1'
_cell_length_a 4.200
_cell_length_b 4.200
_cell_length_c 6.395
_cell_angle_alpha 90.00
_cell_angle_beta 90.00
_cell_angle_gamma 90.00
_symmetry_space_group_name_H-M 'P 4 m m'
_symmetry_Int_Tables_number 99
_symmetry_space_group_name_Hall 'P 4 -2'
loop_
_atom_site_label
_atom_site_type_symbol
_atom_site_fract_x
_atom_site_fract_y
_atom_site_fract_z
_atom_site_occupancy
Ca1 Ca 0.000 0.000 0.000 1
Ca2 Ca 0.500 0.500 0.333 1
Cr1 Cr 0.000 0.000 0.506 1
Te1 Te 0.500 0.500 0.820 1
```

Values from the calculation:
Uncorrected formation energy: -0.095 eV/atom
Theoretical density: 3.8 g/cm3

***

Entry 8:
Material: Na4Ca4Be4AlSi7O24F4
Method: DFT, GGA-PBEsol
State: relaxed

Cell and atoms, written as CIF:
```
data_Na4Ca4Be4AlSi7O24F4
_chemical_formula_sum 'Na8 Ca8 Be8 Al2 Si14 O48 F8'
_cell_length_a 10.544
_cell_length_b 10.544
_cell_length_c 9.876
_cell_angle_alpha 90.00
_cell_angle_beta 90.00
_cell_angle_gamma 90.00
_symmetry_space_group_name_H-M 'I -4'
_symmetry_Int_Tables_number 82
_symmetry_space_group_name_Hall 'I -4'
loop_
_atom_site_label
_atom_site_type_symbol
_atom_site_fract_x
_atom_site_fract_y
_atom_site_fract_z
_atom_site_occupancy
Na1 Na 0.086 0.261 0.001 1
Ca1 Ca 0.092 0.244 0.506 1
Be1 Be 0.106 0.748 0.721 1
Al1 Al 0.000 0.500 0.250 1
Si1 Si 0.000 0.000 0.254 1
Si2 Si 0.000 0.500 0.750 1
Si3 Si 0.113 0.755 0.223 1
O1 O 0.028 0.627 0.659 1
O2 O 0.038 0.879 0.155 1
O3 O 0.040 0.877 0.656 1
O4 O 0.049 0.629 0.150 1
O5 O 0.102 0.757 0.385 1
O6 O 0.243 0.255 0.840 1
F1 F 0.110 0.745 0.881 1
```

Values from the calculation:
Uncorrected formation energy: -2.879 eV/atom
Theoretical density: 2.9 g/cm3

***

Entry 9:
Material: Hf2TiTlSe
Method: DFT, GGA-PBEsol
State: relaxed

Cell and atoms, written as CIF:
```
data_Hf2TiTlSe
_chemical_formula_sum 'Hf2 Ti1 Tl1 Se1'
_cell_length_a 4.846
_cell_length_b 4.846
_cell_length_c 5.174
_cell_angle_alpha 90.00
_cell_angle_beta 90.00
_cell_angle_gamma 90.00
_symmetry_space_group_name_H-M 'P 4/m m m'
_symmetry_Int_Tables_number 123
_symmetry_space_group_name_Hall '-P 4 2'
loop_
_atom_site_label
_atom_site_type_symbol
_atom_site_fract_x
_atom_site_fract_y
_atom_site_fract_z
_atom_site_occupancy
Hf1 Hf 0.000 0.500 0.000 1
Ti1 Ti 0.000 0.000 0.000 1
Tl1 Tl 0.000 0.000 0.500 1
Se1 Se 0.500 0.500 0.500 1
```

Values from the calculation:
Uncorrected formation energy: 0.744 eV/atom
Theoretical density: 9.4 g/cm3

***

Entry 10:
Material: CaNiP2O7
Method: DFT, GGA-PBEsol
State: relaxed

Cell and atoms, written as CIF:
```
data_CaNiP2O7
_chemical_formula_sum 'Ca2 Ni2 P4 O14'
_cell_length_a 6.355
_cell_length_b 6.486
_cell_length_c 6.569
_cell_angle_alpha 66.27
_cell_angle_beta 87.91
_cell_angle_gamma 82.61
_symmetry_space_group_name_H-M 'P -1'
_symmetry_Int_Tables_number 2
_symmetry_space_group_name_Hall '-P 1'
loop_
_atom_site_label
_atom_site_type_symbol
_atom_site_fract_x
_atom_site_fract_y
_atom_site_fract_z
_atom_site_occupancy
Ca1 Ca 0.139 0.234 0.319 1
Ni1 Ni 0.354 0.400 0.720 1
P1 P 0.141 0.732 0.250 1
P2 P 0.375 0.859 0.830 1
O1 O 0.032 0.396 0.785 1
O2 O 0.064 0.887 0.364 1
O3 O 0.221 0.896 0.017 1
O4 O 0.272 0.703 0.752 1
O5 O 0.332 0.549 0.367 1
O6 O 0.379 0.102 0.655 1
O7 O 0.407 0.248 0.057 1
```

Values from the calculation:
Uncorrected formation energy: -2.208 eV/atom
Theoretical density: 3.7 g/cm3
Energy above the most stable polymorph in this dataset: 0 meV/atom

***

Entry 11:
Material: SbP4O12
Method: DFT, GGA-PBEsol
State: relaxed

Cell and atoms, written as CIF:
```
data_SbP4O12
_chemical_formula_sum 'Sb2 P8 O24'
_cell_length_a 5.460
_cell_length_b 13.749
_cell_length_c 7.265
_cell_angle_alpha 90.00
_cell_angle_beta 101.62
_cell_angle_gamma 90.00
_symmetry_space_group_name_H-M 'P 1 21 1'
_symmetry_Int_Tables_number 4
_symmetry_space_group_name_Hall 'P 2yb'
loop_
_atom_site_label
_atom_site_type_symbol
_atom_site_fract_x
_atom_site_fract_y
_atom_site_fract_z
_atom_site_occupancy
Sb1 Sb 0.014 0.000 0.047 1
P1 P 0.297 0.587 0.350 1
P2 P 0.402 0.930 0.447 1
P3 P 0.478 0.360 0.914 1
P4 P 0.497 0.138 0.973 1
O1 O 0.116 0.510 0.239 1
O2 O 0.144 0.958 0.331 1
O3 O 0.201 0.682 0.389 1
O4 O 0.229 0.378 0.968 1
O5 O 0.255 0.125 0.040 1
O6 O 0.275 0.596 0.897 1
O7 O 0.304 0.919 0.978 1
O8 O 0.419 0.876 0.622 1
O9 O 0.442 0.531 0.532 1
O10 O 0.448 0.750 0.046 1
O11 O 0.451 0.373 0.696 1
O12 O 0.473 0.096 0.768 1
```

Values from the calculation:
Uncorrected formation energy: -1.887 eV/atom
Theoretical density: 2.7 g/cm3
Energy above the most stable polymorph in this dataset: 19 meV/atom